Pr6SmDyEr2 PBE relaxed; E_form = 0.1139 eV/atom; VASP energy = -4.599 eV per atom
1.0
4.683 -7.684 0.000
4.683 7.684 0.000
-1.238 0.000 9.628
Pr Sm Dy Er
12 2 2 4
Cartesian
2.434 4.268 1.803 Pr
3.412 4.982 5.344 Pr
4.099 4.982 9.099 Pr
3.310 1.676 3.682 Pr
6.314 4.268 3.011 Pr
5.438 1.676 1.132 Pr
2.691 -1.676 8.496 Pr
1.815 -4.268 6.618 Pr
4.819 -1.676 5.946 Pr
4.030 -4.982 0.530 Pr
4.717 -4.982 4.285 Pr
5.695 -4.268 7.825 Pr
4.374 7.236 2.407 Sm
3.755 -7.236 7.221 Sm
3.755 1.366 7.221 Dy
4.374 -1.366 2.407 Dy
2.272 0.737 0.462 Er
1.653 -0.737 5.276 Er
6.476 0.737 4.353 Er
5.857 -0.737 9.167 Er


PrSmDyEr PBE relaxed; E_form = 0.0207 eV/atom; VASP energy = -4.645 eV per atom
1.0
-2.548 2.548 5.073
2.548 -2.548 5.073
2.548 2.548 -5.073
Pr Sm Dy Er
1 1 1 1
Cartesian
0.000 0.000 0.000 Pr
2.548 0.000 2.537 Sm
0.000 2.548 2.537 Dy
0.000 0.000 5.073 Er


Pr6Sm3Dy2Er PBE relaxed; E_form = 0.0124 eV/atom; VASP energy = -4.704 eV per atom
1.0
3.168 -5.489 0.000
3.168 5.489 0.000
-2.108 0.000 11.799
Pr Sm Dy Er
6 3 2 1
Cartesian
1.060 1.828 2.916 Pr
-0.002 0.000 8.880 Pr
1.060 -1.828 2.916 Pr
3.169 1.828 8.883 Pr
4.230 0.000 2.919 Pr
3.169 -1.828 8.883 Pr
2.114 3.659 5.899 Sm
2.114 0.000 5.899 Sm
2.114 -3.659 5.899 Sm
3.168 1.830 0.000 Dy
3.168 -1.830 0.000 Dy
0.000 0.000 0.000 Er


TbPr3Dy6Er2 PBE relaxed; E_form = 0.0201 eV/atom; VASP energy = -4.622 eV per atom
1.0
3.104 -5.374 0.000
3.104 5.374 0.000
-2.064 0.000 11.664
Tb Pr Dy Er
1 3 6 2
Cartesian
0.000 0.000 0.000 Tb
2.072 3.582 5.832 Pr
2.072 0.000 5.832 Pr
2.072 -3.582 5.832 Pr
1.038 1.793 2.858 Dy
0.004 0.000 8.805 Dy
1.038 -1.793 2.858 Dy
3.106 1.793 8.805 Dy
4.139 0.000 2.858 Dy
3.106 -1.793 8.805 Dy
3.104 1.792 0.000 Er
3.104 -1.792 0.000 Er


Tb2PrDy4Er PBE relaxed; E_form = 0.4307 eV/atom; VASP energy = -4.196 eV per atom
1.0
6.797 -6.608 0.000
6.797 6.608 0.000
-3.383 0.000 5.883
Tb Pr Dy Er
4 2 8 2
Cartesian
0.000 0.000 0.000 Tb
-1.692 0.000 2.942 Tb
3.398 3.304 0.000 Tb
1.707 -3.304 2.942 Tb
6.797 0.000 0.000 Pr
5.105 0.000 2.942 Pr
3.305 3.338 5.820 Dy
1.699 0.015 2.908 Dy
0.007 -0.015 5.849 Dy
5.213 3.338 3.005 Dy
4.997 -3.338 2.878 Dy
10.203 0.015 0.034 Dy
8.511 -0.015 2.975 Dy
6.905 -3.338 0.063 Dy
1.707 3.304 2.942 Er
3.398 -3.304 0.000 Er


Tb4Pr2DyEr PBE relaxed; E_form = 0.0200 eV/atom; VASP energy = -4.636 eV per atom
1.0
5.072 0.000 0.000
0.000 5.094 0.000
-0.012 0.000 10.126
Tb Pr Dy Er
4 2 1 1
Cartesian
5.068 0.000 2.520 Tb
-0.008 0.000 7.605 Tb
2.533 2.547 2.533 Tb
2.527 2.547 7.593 Tb
0.000 2.547 0.000 Pr
2.530 0.000 5.063 Pr
-0.006 2.547 5.063 Dy
2.536 0.000 0.000 Er


Tb5PrDy2Er PBE relaxed; E_form = 0.2938 eV/atom; VASP energy = -4.339 eV per atom
1.0
-4.532 4.532 7.241
4.532 -4.532 7.241
4.532 4.532 -7.241
Tb Pr Dy Er
10 2 4 2
Cartesian
0.000 0.000 0.000 Tb
6.384 1.852 -1.897 Tb
1.852 2.680 -1.897 Tb
6.384 1.852 1.897 Tb
1.852 2.680 1.897 Tb
0.000 0.000 7.241 Tb
2.680 1.852 5.344 Tb
-1.852 2.680 5.344 Tb
2.680 1.852 9.138 Tb
-1.852 2.680 9.138 Tb
0.000 0.000 3.621 Pr
0.000 0.000 10.862 Pr
3.524 1.008 0.000 Dy
3.524 -1.008 7.241 Dy
1.008 5.541 0.000 Dy
1.008 3.524 7.241 Dy
4.532 0.000 3.621 Er
0.000 4.532 3.621 Er


TbPr4DyEr2 PBE relaxed; E_form = 0.0167 eV/atom; VASP energy = -4.668 eV per atom
1.0
5.153 0.000 0.000
0.000 5.179 0.000
0.000 0.000 10.050
Tb Pr Dy Er
1 4 1 2
Cartesian
0.000 0.000 0.000 Tb
0.000 2.590 2.513 Pr
0.000 2.590 7.536 Pr
2.577 0.000 2.518 Pr
2.577 0.000 7.532 Pr
2.577 2.590 5.025 Dy
0.000 0.000 5.025 Er
2.577 2.590 0.000 Er


| no. | theoretical density (g/cm³) |
| --- | --- |
| 1 | 7.15 |
| 2 | 7.83 |
| 3 | 7.24 |
| 4 | 8.07 |
| 5 | 8.02 |
| 6 | 7.92 |
| 7 | 7.97 |
| 8 | 7.55 |